1.
{"formula": "LaWN2", "functional": "GGA-PBE", "state": "optimized geometry", "polymorph_energy_ev_per_fu": 3.357, "magnetic_moment_mub_per_atom": 0.250, "dft_energy_ev_per_atom": -8.40, "raw_formation_energy_mev_per_atom": 230, "lattice": [[0.0000, 2.9457, 2.9457], [2.9457, 0.0000, 2.9457], [2.9457, 2.9457, 0.0000]], "species": ["La", "W", "N", "N"], "frac_coords": [[0.0000, 0.0000, 0.0000], [0.5000, 0.5000, 0.5000], [0.2500, 0.2500, 0.2500], [0.7500, 0.7500, 0.7500]]}


2.
{"formula": "Cu2AgPd6", "functional": "GGA-PBE", "state": "optimized geometry", "polymorph_energy_ev_per_fu": 0.348, "magnetic_moment_mub_per_atom": 0.000, "dft_energy_ev_per_atom": -4.68, "ef_kj_per_mol_atoms": 0.4, "lattice": [[2.7601, 0.0000, 0.0000], [-1.3801, 2.3903, 0.0000], [0.0000, 0.0000, 20.7448]], "species": ["Cu", "Cu", "Ag", "Pd", "Pd", "Pd", "Pd", "Pd", "Pd"], "frac_coords": [[0.0000, 0.0000, 0.1668], [0.0000, 0.0000, 0.8332], [0.6667, 0.3333, 0.5000], [0.0000, 0.0000, 0.3834], [0.0000, 0.0000, 0.6166], [0.6667, 0.3333, 0.0646], [0.6667, 0.3333, 0.2693], [0.6667, 0.3333, 0.7307], [0.6667, 0.3333, 0.9354]]}


Repeat the first record exactly.
{"formula": "LaWN2", "functional": "GGA-PBE", "state": "optimized geometry", "polymorph_energy_ev_per_fu": 3.357, "magnetic_moment_mub_per_atom": 0.250, "dft_energy_ev_per_atom": -8.40, "raw_formation_energy_mev_per_atom": 230, "lattice": [[0.0000, 2.9457, 2.9457], [2.9457, 0.0000, 2.9457], [2.9457, 2.9457, 0.0000]], "species": ["La", "W", "N", "N"], "frac_coords": [[0.0000, 0.0000, 0.0000], [0.5000, 0.5000, 0.5000], [0.2500, 0.2500, 0.2500], [0.7500, 0.7500, 0.7500]]}